[1]
Entry from Alexandria via LeMat-Bulk: a relaxed AlInHg2 crystal (GGA-PBE).

Results
* DFT formation energy: 139 meV per atom
* DOS at the Fermi energy: 1.798 states/eV per cell
* relative energy among the computed polymorphs: 0.065 eV/atom
* space group: No. 35
* DFT total energy: -1.632 eV per atom

CIF file:
```
data_AlInHg2
_chemical_formula_sum 'Al1 In1 Hg2'
_cell_length_a 3.169
_cell_length_b 3.169
_cell_length_c 9.703
_cell_angle_alpha 90.00
_cell_angle_beta 90.00
_cell_angle_gamma 98.87
_space_group_name_H-M_alt 'P 1'
_space_group_IT_number 1
_space_group_name_Hall 'P 1'
loop_
_atom_site_label
_atom_site_type_symbol
_atom_site_fract_x
_atom_site_fract_y
_atom_site_fract_z
Al1 Al 0.000 0.000 0.000
In1 In 0.500 0.500 0.234
Hg1 Hg 0.000 0.000 0.510
Hg2 Hg 0.500 0.500 0.780
```

***

[2]
Entry from Alexandria via LeMat-Bulk: a relaxed AlInHg2 crystal (GGA-PBE).

Results
* DFT formation energy: 88 meV per atom
* DOS at the Fermi energy: 1.018 states/eV per cell
* relative energy among the computed polymorphs: 0.014 eV/atom
* space group: No. 12
* DFT total energy: -1.683 eV per atom

CIF file:
```
data_AlInHg2
_chemical_formula_sum 'Al1 In1 Hg2'
_cell_length_a 4.712
_cell_length_b 4.712
_cell_length_c 6.233
_cell_angle_alpha 103.04
_cell_angle_beta 103.04
_cell_angle_gamma 45.20
_space_group_name_H-M_alt 'P 1'
_space_group_IT_number 1
_space_group_name_Hall 'P 1'
loop_
_atom_site_label
_atom_site_type_symbol
_atom_site_fract_x
_atom_site_fract_y
_atom_site_fract_z
Al1 Al 0.000 0.000 0.000
In1 In 0.500 0.500 0.500
Hg1 Hg 0.258 0.258 0.778
Hg2 Hg 0.742 0.742 0.222
```

***

[3]
Entry from Alexandria via LeMat-Bulk: a relaxed AlInHg crystal (GGA-PBE).

Results
* DFT formation energy: 117 meV per atom
* DOS at the Fermi energy: 2.312 states/eV per cell
* space group: No. 2
* DFT total energy: -2.144 eV per atom

CIF file:
```
data_AlInHg
_chemical_formula_sum 'Al2 In2 Hg2'
_cell_length_a 3.693
_cell_length_b 5.641
_cell_length_c 7.223
_cell_angle_alpha 76.42
_cell_angle_beta 75.43
_cell_angle_gamma 88.05
_space_group_name_H-M_alt 'P 1'
_space_group_IT_number 1
_space_group_name_Hall 'P 1'
loop_
_atom_site_label
_atom_site_type_symbol
_atom_site_fract_x
_atom_site_fract_y
_atom_site_fract_z
Al1 Al 0.250 0.189 0.484
Al2 Al 0.750 0.811 0.516
In1 In 0.065 0.787 0.872
In2 In 0.935 0.213 0.128
Hg1 Hg 0.385 0.669 0.251
Hg2 Hg 0.615 0.331 0.749
```

***

[4]
Entry from Alexandria via LeMat-Bulk: a relaxed Al4InHg crystal (GGA-PBE).

Results
* DFT formation energy: 175 meV per atom
* DOS at the Fermi energy: 1.431 states/eV per cell
* space group: No. 216
* DFT total energy: -2.827 eV per atom

CIF file:
```
data_Al4InHg
_chemical_formula_sum 'Al4 In1 Hg1'
_cell_length_a 5.579
_cell_length_b 5.579
_cell_length_c 5.579
_cell_angle_alpha 60.00
_cell_angle_beta 60.00
_cell_angle_gamma 60.00
_space_group_name_H-M_alt 'P 1'
_space_group_IT_number 1
_space_group_name_Hall 'P 1'
loop_
_atom_site_label
_atom_site_type_symbol
_atom_site_fract_x
_atom_site_fract_y
_atom_site_fract_z
Al1 Al 0.125 0.125 0.125
Al2 Al 0.125 0.125 0.625
Al3 Al 0.125 0.625 0.125
Al4 Al 0.625 0.125 0.125
In1 In 0.500 0.500 0.500
Hg1 Hg 0.750 0.750 0.750
```

***

[5]
Entry from Alexandria via LeMat-Bulk: a relaxed AlInHg crystal (GGA-PBE).

Results
* DFT formation energy: 108 meV per atom
* DOS at the Fermi energy: 2.359 states/eV per cell
* space group: No. 1
* DFT total energy: -2.153 eV per atom

CIF file:
```
data_AlInHg
_chemical_formula_sum 'Al2 In2 Hg2'
_cell_length_a 3.102
_cell_length_b 5.797
_cell_length_c 8.236
_cell_angle_alpha 74.09
_cell_angle_beta 81.84
_cell_angle_gamma 88.12
_space_group_name_H-M_alt 'P 1'
_space_group_IT_number 1
_space_group_name_Hall 'P 1'
loop_
_atom_site_label
_atom_site_type_symbol
_atom_site_fract_x
_atom_site_fract_y
_atom_site_fract_z
Al1 Al 0.000 0.000 0.000
Al2 Al 0.436 0.653 0.216
In1 In 0.068 0.515 0.916
In2 In 0.795 0.610 0.537
Hg1 Hg 0.505 0.153 0.297
Hg2 Hg 0.622 0.059 0.684
```

***

[6]
Entry from Alexandria via LeMat-Bulk: a relaxed Al2InHg crystal (GGA-PBE).

Results
* DFT formation energy: 263 meV per atom
* DOS at the Fermi energy: 2.852 states/eV per cell
* space group: No. 216
* DFT total energy: -2.369 eV per atom

CIF file:
```
data_Al2InHg
_chemical_formula_sum 'Al2 In1 Hg1'
_cell_length_a 4.992
_cell_length_b 4.992
_cell_length_c 4.992
_cell_angle_alpha 60.00
_cell_angle_beta 60.00
_cell_angle_gamma 60.00
_space_group_name_H-M_alt 'P 1'
_space_group_IT_number 1
_space_group_name_Hall 'P 1'
loop_
_atom_site_label
_atom_site_type_symbol
_atom_site_fract_x
_atom_site_fract_y
_atom_site_fract_z
Al1 Al 0.000 0.000 0.000
Al2 Al 0.250 0.250 0.250
In1 In 0.750 0.750 0.750
Hg1 Hg 0.500 0.500 0.500
```

***

[7]
Entry from Alexandria via LeMat-Bulk: a relaxed AlInHg crystal (GGA-PBE).

Results
* DFT formation energy: 97 meV per atom
* DOS at the Fermi energy: 2.601 states/eV per cell
* space group: No. 1
* DFT total energy: -2.164 eV per atom

CIF file:
```
data_AlInHg
_chemical_formula_sum 'Al2 In2 Hg2'
_cell_length_a 5.544
_cell_length_b 5.648
_cell_length_c 5.661
_cell_angle_alpha 78.54
_cell_angle_beta 62.98
_cell_angle_gamma 62.19
_space_group_name_H-M_alt 'P 1'
_space_group_IT_number 1
_space_group_name_Hall 'P 1'
loop_
_atom_site_label
_atom_site_type_symbol
_atom_site_fract_x
_atom_site_fract_y
_atom_site_fract_z
Al1 Al 0.000 0.000 0.000
Al2 Al 0.498 0.999 0.005
In1 In 0.389 0.219 0.512
In2 In 0.886 0.509 0.228
Hg1 Hg 0.075 0.839 0.507
Hg2 Hg 0.575 0.503 0.844
```

***

[8]
Entry from Alexandria via LeMat-Bulk: a relaxed Al2InHg crystal (GGA-PBE).

Results
* DFT formation energy: 239 meV per atom
* DOS at the Fermi energy: 4.028 states/eV per cell
* space group: No. 122
* DFT total energy: -2.392 eV per atom

CIF file:
```
data_Al2InHg
_chemical_formula_sum 'Al4 In2 Hg2'
_cell_length_a 6.289
_cell_length_b 6.289
_cell_length_c 6.289
_cell_angle_alpha 103.19
_cell_angle_beta 103.19
_cell_angle_gamma 122.93
_space_group_name_H-M_alt 'P 1'
_space_group_IT_number 1
_space_group_name_Hall 'P 1'
loop_
_atom_site_label
_atom_site_type_symbol
_atom_site_fract_x
_atom_site_fract_y
_atom_site_fract_z
Al1 Al 0.111 0.625 0.986
Al2 Al 0.375 0.361 0.486
Al3 Al 0.639 0.125 0.014
Al4 Al 0.875 0.889 0.514
In1 In 0.250 0.750 0.500
In2 In 0.500 0.500 0.000
Hg1 Hg 0.000 0.000 0.000
Hg2 Hg 0.750 0.250 0.500
```

***

[9]
Entry from Alexandria via LeMat-Bulk: a relaxed AlIn2Hg crystal (GGA-PBE).

Results
* DFT formation energy: 118 meV per atom
* DOS at the Fermi energy: 1.623 states/eV per cell
* relative energy among the computed polymorphs: 0.025 eV/atom
* space group: No. 44
* DFT total energy: -2.263 eV per atom

CIF file:
```
data_AlIn2Hg
_chemical_formula_sum 'Al1 In2 Hg1'
_cell_length_a 6.444
_cell_length_b 6.444
_cell_length_c 6.444
_cell_angle_alpha 149.76
_cell_angle_beta 132.73
_cell_angle_gamma 57.15
_space_group_name_H-M_alt 'P 1'
_space_group_IT_number 1
_space_group_name_Hall 'P 1'
loop_
_atom_site_label
_atom_site_type_symbol
_atom_site_fract_x
_atom_site_fract_y
_atom_site_fract_z
Al1 Al 0.000 0.000 0.000
In1 In 0.484 0.484 0.000
In2 In 0.775 0.275 0.500
Hg1 Hg 0.208 0.708 0.500
```

***

[10]
Entry from Alexandria via LeMat-Bulk: a relaxed AlIn2Hg crystal (GGA-PBE).

Results
* DFT formation energy: 136 meV per atom
* DOS at the Fermi energy: 1.657 states/eV per cell
* relative energy among the computed polymorphs: 0.043 eV/atom
* space group: No. 139
* DFT total energy: -2.245 eV per atom

CIF file:
```
data_AlIn2Hg
_chemical_formula_sum 'Al1 In2 Hg1'
_cell_length_a 5.460
_cell_length_b 5.460
_cell_length_c 5.460
_cell_angle_alpha 128.53
_cell_angle_beta 128.53
_cell_angle_gamma 75.76
_space_group_name_H-M_alt 'P 1'
_space_group_IT_number 1
_space_group_name_Hall 'P 1'
loop_
_atom_site_label
_atom_site_type_symbol
_atom_site_fract_x
_atom_site_fract_y
_atom_site_fract_z
Al1 Al 0.000 0.000 0.000
In1 In 0.250 0.750 0.500
In2 In 0.750 0.250 0.500
Hg1 Hg 0.500 0.500 0.000
```

***

[11]
Entry from Alexandria via LeMat-Bulk: a relaxed AlInHg crystal (GGA-PBE).

Results
* DFT formation energy: 116 meV per atom
* DOS at the Fermi energy: 2.522 states/eV per cell
* space group: No. 2
* DFT total energy: -2.145 eV per atom

CIF file:
```
data_AlInHg
_chemical_formula_sum 'Al2 In2 Hg2'
_cell_length_a 3.516
_cell_length_b 6.040
_cell_length_c 6.731
_cell_angle_alpha 89.26
_cell_angle_beta 76.12
_cell_angle_gamma 86.67
_space_group_name_H-M_alt 'P 1'
_space_group_IT_number 1
_space_group_name_Hall 'P 1'
loop_
_atom_site_label
_atom_site_type_symbol
_atom_site_fract_x
_atom_site_fract_y
_atom_site_fract_z
Al1 Al 0.000 0.000 0.000
Al2 Al 0.000 0.500 0.000
In1 In 0.332 0.250 0.331
In2 In 0.668 0.750 0.669
Hg1 Hg 0.369 0.750 0.278
Hg2 Hg 0.631 0.250 0.722
```

***

[12]
Entry from Alexandria via LeMat-Bulk: a relaxed AlInHg2 crystal (GGA-PBE).

Results
* DFT formation energy: 208 meV per atom
* DOS at the Fermi energy: 2.445 states/eV per cell
* relative energy among the computed polymorphs: 0.134 eV/atom
* space group: No. 216
* DFT total energy: -1.564 eV per atom

CIF file:
```
data_AlInHg2
_chemical_formula_sum 'Al1 In1 Hg2'
_cell_length_a 5.161
_cell_length_b 5.161
_cell_length_c 5.161
_cell_angle_alpha 60.00
_cell_angle_beta 60.00
_cell_angle_gamma 60.00
_space_group_name_H-M_alt 'P 1'
_space_group_IT_number 1
_space_group_name_Hall 'P 1'
loop_
_atom_site_label
_atom_site_type_symbol
_atom_site_fract_x
_atom_site_fract_y
_atom_site_fract_z
Al1 Al 0.000 0.000 0.000
In1 In 0.250 0.250 0.250
Hg1 Hg 0.500 0.500 0.500
Hg2 Hg 0.750 0.750 0.750
```

***

Q: Number 10 is which compound?
A: AlIn2Hg

***

Repeat the fifth record exactly.
Entry from Alexandria via LeMat-Bulk: a relaxed AlInHg crystal (GGA-PBE).

Results
* DFT formation energy: 108 meV per atom
* DOS at the Fermi energy: 2.359 states/eV per cell
* space group: No. 1
* DFT total energy: -2.153 eV per atom

CIF file:
```
data_AlInHg
_chemical_formula_sum 'Al2 In2 Hg2'
_cell_length_a 3.102
_cell_length_b 5.797
_cell_length_c 8.236
_cell_angle_alpha 74.09
_cell_angle_beta 81.84
_cell_angle_gamma 88.12
_space_group_name_H-M_alt 'P 1'
_space_group_IT_number 1
_space_group_name_Hall 'P 1'
loop_
_atom_site_label
_atom_site_type_symbol
_atom_site_fract_x
_atom_site_fract_y
_atom_site_fract_z
Al1 Al 0.000 0.000 0.000
Al2 Al 0.436 0.653 0.216
In1 In 0.068 0.515 0.916
In2 In 0.795 0.610 0.537
Hg1 Hg 0.505 0.153 0.297
Hg2 Hg 0.622 0.059 0.684
```